[1]
A geometry-optimized TaRe3 structure, computed with PBE.

Its final energy is -48.9 eV per formula unit. Its formation energy from the elements is 0.066 eV per atom. The calculation puts the total magnetization at 0.000 μB per atom. The density of states at the Fermi level is 0.9467 states/eV per atom.

abc: 3.962 3.962 16.114
angles: 90.00 90.00 90.00
Space group I4/mmm (No. 139)
Symmetry-distinct sites (fractional):
Ta  0.000  0.000  0.122 [4 per cell]
Re  0.000  0.000  0.371 [4 per cell]
Re  0.000  0.500  0.000 [4 per cell]
Re  0.000  0.500  0.250 [4 per cell]

---

[2]
A geometry-optimized VNiP structure, computed with PBE.

Its final energy is -21.1 eV per formula unit. Its formation energy from the elements is -0.267 eV per atom. The calculation puts the total magnetization at 0.000 μB per atom. The density of states at the Fermi level is 0.7613 states/eV per atom.

abc: 3.234 3.234 7.072
angles: 90.00 90.00 90.00
Space group I4mm (No. 107)
Symmetry-distinct sites (fractional):
V  0.000  0.000  0.000 [2 per cell]
Ni  0.000  0.000  0.333 [2 per cell]
P  0.000  0.000  0.660 [2 per cell]

---

[3]
A geometry-optimized Ge2Pd12Au5 structure, computed with PBE.

Its final energy is -90.4 eV per formula unit. As for the polymorph energy (0 for the lowest one): 39.1 meV/atom. Its formation energy from the elements is -0.129 eV per atom. The calculation puts the total magnetization at 0.000 μB per atom. The density of states at the Fermi level is 0.4701 states/eV per atom.

abc: 12.814 7.724 6.358
angles: 90.00 91.48 90.00
Space group C2/m (No. 12)
Symmetry-distinct sites (fractional):
Ge  0.000  0.218  0.000 [4 per cell]
Pd  0.048  0.000  0.293 [4 per cell]
Pd  0.090  0.500  0.891 [4 per cell]
Pd  0.121  0.202  0.663 [8 per cell]
Pd  0.152  0.308  0.243 [8 per cell]
Au  0.000  0.500  0.500 [2 per cell]
Au  0.202  0.000  0.989 [4 per cell]
Au  0.241  0.500  0.575 [4 per cell]

---

[4]
A geometry-optimized InCoMo2 structure, computed with PBE.

Its final energy is -30.0 eV per formula unit. Its formation energy from the elements is 0.384 eV per atom. The calculation puts the total magnetization at 0.319 μB per atom. The density of states at the Fermi level is 1.2028 states/eV per atom.

abc: 5.248 8.936 2.770
angles: 90.00 102.59 90.00
Space group C2/m (No. 12)
Symmetry-distinct sites (fractional):
In  0.000  0.000  0.000 [2 per cell]
Co  0.000  0.500  0.000 [2 per cell]
Mo  0.250  0.250  0.500 [4 per cell]

---

[5]
A geometry-optimized PmDy3S structure, computed with PBE.

Its final energy is -26.0 eV per formula unit. The calculation puts the total magnetization at 0.000 μB per atom. The density of states at the Fermi level is 1.7350 states/eV per atom.

abc: 5.321 5.321 5.321
angles: 90.00 90.00 90.00
Space group Pm-3m (No. 221)
Symmetry-distinct sites (fractional):
Pm  0.000  0.000  0.000 [1 per cell]
Dy  0.000  0.500  0.500 [3 per cell]
S  0.500  0.500  0.500 [1 per cell]

---

[6]
A geometry-optimized Re2Hg structure, computed with PBE.

Its final energy is -22.9 eV per formula unit. As for the polymorph energy (0 for the lowest one): 353.0 meV/atom. Its formation energy from the elements is 0.753 eV per atom. The calculation puts the total magnetization at 0.000 μB per atom. The density of states at the Fermi level is 0.8919 states/eV per atom.

abc: 10.591 2.896 6.758
angles: 90.00 106.18 90.00
Space group Cm (No. 8)
Symmetry-distinct sites (fractional):
Re  0.000  0.000  0.000 [2 per cell]
Re  0.048  0.000  0.615 [2 per cell]
Re  0.203  0.500  0.943 [2 per cell]
Re  0.395  0.000  0.249 [2 per cell]
Hg  0.169  0.500  0.334 [2 per cell]
Hg  0.331  0.000  0.677 [2 per cell]

---

[7]
A geometry-optimized KHgTe3Pb structure, computed with PBE.

Its final energy is -16.8 eV per formula unit. The calculation puts the total magnetization at 0.000 μB per atom. The density of states at the Fermi level is 0.7188 states/eV per atom.

abc: 9.532 4.472 10.682
angles: 90.00 102.22 90.00
Space group P2_1/m (No. 11)
Symmetry-distinct sites (fractional):
K  0.222  0.250  0.271 [2 per cell]
Hg  0.075  0.250  0.634 [2 per cell]
Te  0.072  0.250  0.903 [2 per cell]
Te  0.218  0.750  0.540 [2 per cell]
Te  0.469  0.750  0.177 [2 per cell]
Pb  0.326  0.750  0.892 [2 per cell]

---

[8]
A geometry-optimized CePrZnAu structure, computed with PBE.

Its final energy is -17.1 eV per formula unit. As for the polymorph energy (0 for the lowest one): 0.0 meV/atom. Its formation energy from the elements is -0.447 eV per atom. The calculation puts the total magnetization at 0.247 μB per atom. The density of states at the Fermi level is 2.1457 states/eV per atom.

abc: 3.747 3.747 7.200
angles: 90.00 90.00 90.00
Space group P4mm (No. 99)
Symmetry-distinct sites (fractional):
Ce  0.000  0.000  0.000 [1 per cell]
Pr  0.000  0.000  0.507 [1 per cell]
Zn  0.500  0.500  0.760 [1 per cell]
Au  0.500  0.500  0.241 [1 per cell]

---

[9]
A geometry-optimized MgCo2Au structure, computed with PBE.

Its final energy is -18.5 eV per formula unit. Its formation energy from the elements is 0.156 eV per atom. The calculation puts the total magnetization at 0.795 μB per atom. The density of states at the Fermi level is 1.0850 states/eV per atom.

abc: 2.732 4.592 4.681
angles: 90.00 94.02 90.00
Space group P2/m (No. 10)
Symmetry-distinct sites (fractional):
Mg  0.000  0.000  0.000 [1 per cell]
Co  0.306  0.500  0.764 [2 per cell]
Au  0.500  0.000  0.500 [1 per cell]

---

[10]
A geometry-optimized Ta4ZnOs structure, computed with PBE.

Its final energy is -57.0 eV per formula unit. Its formation energy from the elements is 0.492 eV per atom. The calculation puts the total magnetization at 0.000 μB per atom. The density of states at the Fermi level is 1.0812 states/eV per atom.

abc: 7.541 7.541 7.541
angles: 90.00 90.00 90.00
Space group F-43m (No. 216)
Symmetry-distinct sites (fractional):
Ta  0.125  0.125  0.125 [16 per cell]
Zn  0.250  0.250  0.750 [4 per cell]
Os  0.000  0.000  0.500 [4 per cell]

---

[11]
A geometry-optimized Mn3Si structure, computed with PBE.

Its final energy is -33.8 eV per formula unit. The calculation puts the total magnetization at 0.251 μB per atom. The density of states at the Fermi level is 1.2994 states/eV per atom.

abc: 3.999 3.999 2.815
angles: 90.00 90.00 90.00
Space group P4/mmm (No. 123)
Symmetry-distinct sites (fractional):
Mn  0.000  0.000  0.000 [1 per cell]
Mn  0.000  0.500  0.500 [2 per cell]
Si  0.500  0.500  0.000 [1 per cell]

---

[12]
A geometry-optimized Cr2CoMoN structure, computed with PBE.

Its final energy is -45.9 eV per formula unit. As for the polymorph energy (0 for the lowest one): 28.0 meV/atom. The calculation puts the total magnetization at 0.023 μB per atom. The density of states at the Fermi level is 1.3870 states/eV per atom.

abc: 3.769 3.769 4.056
angles: 90.00 90.00 90.00
Space group P4/mmm (No. 123)
Symmetry-distinct sites (fractional):
Cr  0.000  0.500  0.000 [2 per cell]
Co  0.000  0.000  0.500 [1 per cell]
Mo  0.500  0.500  0.500 [1 per cell]
N  0.500  0.500  0.000 [1 per cell]